Computed, not measured: crystalline CeSn4Rh2 at its relaxed geometry at the GGA-PBE level of DFT.

Calculated values
The formation energy comes out at -0.61 eV per atom. For the density of states at the Fermi level, the calculation gives 28.15 states/eV per cell. The total magnetization comes out at 2.86 μB/cell. The calculation puts the mass density at 8.957 g cm⁻³. As for the space-group type: No. 62.

Cell: 4.5361 7.1952 18.6481 Å, 90.00 90.00 90.00°
Last column: nearest neighbours and their distance in Å.
Fractional positions:
Ce1 0.2500 0.9992 0.8591  8 Sn 3.19-3.46, 4 Rh 3.51-3.55
Ce2 0.2500 0.5008 0.3591  8 Sn 3.19-3.46, 4 Rh 3.51-3.55
Ce3 0.7500 0.0008 0.1409  8 Sn 3.19-3.46, 4 Rh 3.51-3.55
Ce4 0.7500 0.4992 0.6409  8 Sn 3.19-3.46, 4 Rh 3.51-3.55
Sn1 0.2500 0.2993 0.1825  4 Rh 2.78-2.83, 1 Sn 3.05
Sn2 0.2500 0.2007 0.6825  4 Rh 2.78-2.83, 1 Sn 3.05
Sn3 0.7500 0.7007 0.8175  4 Rh 2.78-2.83, 1 Sn 3.05
Sn4 0.7500 0.7993 0.3175  4 Rh 2.78-2.83, 1 Sn 3.05
Sn5 0.2500 0.7224 0.1944  3 Rh 2.73, 1 Sn 3.05
Sn6 0.2500 0.7776 0.6944  3 Rh 2.73, 1 Sn 3.05
Sn7 0.7500 0.2776 0.8056  3 Rh 2.73, 1 Sn 3.05
Sn8 0.7500 0.2224 0.3056  3 Rh 2.73, 1 Sn 3.05
Sn9 0.2500 0.8649 0.0321  3 Rh 2.72-2.78
Sn10 0.2500 0.6351 0.5321  3 Rh 2.72-2.78
Sn11 0.7500 0.1351 0.9679  3 Rh 2.72-2.78
Sn12 0.7500 0.3649 0.4679  3 Rh 2.72-2.78
Sn13 0.2500 0.5200 0.9321  4 Rh 2.71-2.87
Sn14 0.2500 0.9800 0.4321  4 Rh 2.71-2.87
Sn15 0.7500 0.4800 0.0679  4 Rh 2.71-2.87
Sn16 0.7500 0.0200 0.5679  4 Rh 2.71-2.87
Rh1 0.2500 0.2507 0.0345  7 Sn 2.72-2.87
Rh2 0.2500 0.2493 0.5345  7 Sn 2.72-2.87
Rh3 0.7500 0.7493 0.9655  7 Sn 2.72-2.87
Rh4 0.7500 0.7507 0.4655  7 Sn 2.72-2.87
Rh5 0.2500 0.0160 0.2875  7 Sn 2.71-2.83
Rh6 0.2500 0.4840 0.7875  7 Sn 2.71-2.83
Rh7 0.7500 0.9840 0.7125  7 Sn 2.71-2.83
Rh8 0.7500 0.5160 0.2125  7 Sn 2.71-2.83